Compound: La2AlAg
Source: Alexandria via LeMat-Bulk
Functional: PBE-GGA
Structure: relaxed

Lattice parameters (Å, degrees): 9.6585 9.6585 9.6585 22.85 22.85 22.85
Closest atoms and distances in Å follow each position.
Fractional coordinates of all 4 atoms:
La: 0.2477 0.2477 0.2477  3 Al 3.18, 3 Ag 3.27
La: 0.7523 0.7523 0.7523  3 Al 3.18, 3 Ag 3.27
Al: 0.5000 0.5000 0.5000  6 La 3.18
Ag: 0.0000 0.0000 0.0000  6 La 3.27

Computed properties:
DFT total energy: -4.195 eV per atom
Density: 5748 kg/m3
Energy of formation from the pure elements: -0.33 eV per formula unit